1.
# AlCrFeO4

AlCrFeO4 after structural relaxation (PBE with a Hubbard U, Alexandria via LeMat-Bulk).

```
data_AlCrFeO4
_cell_length_a 8.341
_cell_length_b 8.339
_cell_length_c 5.874
_cell_angle_alpha 90.00
_cell_angle_beta 133.59
_cell_angle_gamma 90.00
_space_group_name_H-M_alt 'C 1 2/c 1'
_space_group_IT_number 15
loop_
_space_group_symop_operation_xyz
'x,y,z'
'-x,-y,-z'
'-x,y,-z+1/2'
'x,-y,z+1/2'
'x+1/2,y+1/2,z'
'-x+1/2,-y+1/2,-z'
'-x+1/2,y+1/2,-z+1/2'
'x+1/2,-y+1/2,z+1/2'
loop_
_atom_site_label
_atom_site_type_symbol
_atom_site_fract_x
_atom_site_fract_y
_atom_site_fract_z
Al1 Al 0.000 0.000 0.000
Cr1 Cr 0.250 0.250 0.000
Fe1 Fe 0.000 0.381 0.250
O1 O 0.004 0.230 0.526
O2 O 0.213 0.007 0.960
```

magnetic moment: 1.000 μB/atom
E_tot: -0.2743 Ha/atom



2.
# AlCr2FeO6

AlCr2FeO6 after structural relaxation (PBE with a Hubbard U, Alexandria via LeMat-Bulk).

```
data_AlCr2FeO6
_cell_length_a 4.9812
_cell_length_b 4.9812
_cell_length_c 13.4983
_cell_angle_alpha 90.00
_cell_angle_beta 90.00
_cell_angle_gamma 120.00
_space_group_name_H-M_alt 'R 3'
_space_group_IT_number 146
_space_group_name_Hall 'R 3'
loop_
_atom_site_label
_atom_site_type_symbol
_atom_site_fract_x
_atom_site_fract_y
_atom_site_fract_z
Al1 Al 0.0000 0.0000 0.0000
Cr1 Cr 0.0000 0.0000 0.2011
Cr2 Cr 0.0000 0.0000 0.7029
Fe1 Fe 0.0000 0.0000 0.5034
O1 O 0.0125 0.7072 0.0999
O2 O 0.0173 0.3694 0.2691
```

magnetic moment: 0.699 μB/atom
E_tot: -0.2698 Ha/atom